Below is crystalline NaFeIF2 at its relaxed geometry, with properties calculated at the GGA+U level.

extended XYZ file:
```
5
Lattice="4.179 0.000 0.000 0.000 4.179 0.000 0.000 0.000 5.889" Properties=species:S:1:pos:R:3 pbc="T T T"
Na 0.000 0.000 0.000
Fe 2.090 2.090 2.945
I 2.090 2.090 0.000
F 0.000 2.090 2.945
F 2.090 0.000 2.945
```

Electronic total energy in eV per cell: -20.3
Symmetry: P4/mmm